# 1
InCuSb2 | GGA-PBE | relaxed

Geometry as extended XYZ:
```
4
Lattice="4.3627 -0.0080 0.0203 3.2100 2.9545 0.0203 0.8298 0.3229 7.5054" Properties=species:S:1:pos:R:3 pbc="T T T"
Cu 4.2857 1.6676 3.8314
In 1.9937 0.7757 2.1925
Sb 7.3789 2.8711 0.0966
Sb 6.5184 2.5363 5.2391
```

Energy relative to the elements, uncorrected = 129 meV/atom
Total DFT energy (no corrections) = -3.6411 eV/atom
Total moment = 0.0 μB/cell


# 2
VHCl6 | GGA-PBE | relaxed

Geometry as extended XYZ:
```
8
Lattice="-1.8356 -3.8678 4.9037 -0.6986 -2.5122 -5.9646 6.5359 1.5107 0.8722" Properties=species:S:1:pos:R:3 pbc="T T T"
V 2.0009 -2.4347 -0.0944
H 0.0000 0.0000 0.0000
Cl 3.6466 -0.9667 0.2609
Cl 0.7258 -1.3861 1.4888
Cl 0.3551 -3.9027 -0.4496
Cl 2.9528 -3.8687 1.4121
Cl 3.2760 -3.4833 -1.6775
Cl 1.0490 -1.0007 -1.6008
```

Total DFT energy (no corrections) = -3.4689 eV/atom
Total moment = 0.1 μB/cell


# 3
PmTm2Zn2 | GGA-PBE | relaxed

Geometry as extended XYZ:
```
10
Lattice="3.5596 0.0000 -0.4766 0.0000 5.1780 0.0000 -0.0300 0.0000 13.2951" Properties=species:S:1:pos:R:3 pbc="T T T"
Pm 3.0239 3.8835 9.0704
Pm 0.5057 1.2945 3.7480
Tm 0.1624 3.8835 1.2145
Tm 3.3672 1.2945 11.6039
Tm 0.8142 3.8835 6.0794
Tm 2.7155 1.2945 6.7391
Zn 2.2708 3.8835 3.4253
Zn 1.2588 1.2945 9.3932
Zn 1.5902 3.8835 11.8549
Zn 1.9395 1.2945 0.9636
```

Total DFT energy (no corrections) = -3.5070 eV/atom
Polymorph energy (0 for the lowest one) = 0.000 eV per atom
Formation enthalpy at 0 K = -259 meV/atom
Total moment = 0.0 μB/cell


# 4
Np4TlS8 | GGA-PBE | relaxed

Geometry as extended XYZ:
```
13
Lattice="7.9022 -0.0456 -1.8744 -4.6100 6.4671 -1.6985 -0.1228 -0.1824 8.6331" Properties=species:S:1:pos:R:3 pbc="T T T"
Np 0.8170 1.5936 -0.8867
Np 2.4752 4.8279 -2.6862
Np -1.4629 4.8996 -1.6159
Np 4.6324 1.3395 6.6761
Tl -2.3664 3.1424 3.4673
S 5.3050 0.0453 0.2496
S -1.0176 3.1721 0.4097
S 3.0131 3.1601 -0.6178
S 1.2994 0.0286 1.2487
S 1.8701 6.2106 3.8114
S 0.1563 3.0790 5.6780
S 4.1871 3.0671 4.6505
S -2.1355 6.1938 4.8106
```

Energy relative to the elements, uncorrected = -1157 meV/atom
Total DFT energy (no corrections) = -7.8612 eV/atom
Polymorph energy (0 for the lowest one) = 0.012 eV per atom
Total moment = 0.0 μB/cell


# 5
NiHgPd2S | GGA-PBE | relaxed

Geometry as extended XYZ:
```
5
Lattice="4.5867 0.0000 0.0000 0.0000 4.5867 0.0000 0.0000 0.0000 4.1290" Properties=species:S:1:pos:R:3 pbc="T T T"
Ni 0.0000 0.0000 2.0645
S 0.0000 0.0000 0.0000
Hg 2.2934 2.2934 2.0645
Pd 0.0000 2.2934 0.0000
Pd 2.2934 0.0000 0.0000
```

Energy relative to the elements, uncorrected = -73 meV/atom
Total DFT energy (no corrections) = -4.1924 eV/atom
Total moment = 0.0 μB/cell


# 6
Cr2Si2As | GGA-PBE | relaxed

Geometry as extended XYZ:
```
10
Lattice="6.4632 0.0000 0.0000 0.0000 6.4632 0.0000 0.0000 0.0000 3.2193" Properties=species:S:1:pos:R:3 pbc="T T T"
Cr 2.1979 5.4295 0.0000
Cr 5.4295 4.2653 0.0000
Cr 4.2653 1.0337 0.0000
Cr 1.0337 2.1979 0.0000
As 0.0000 0.0000 0.0000
As 3.2316 3.2316 0.0000
Si 0.8711 4.1027 1.6096
Si 4.1027 5.5921 1.6096
Si 5.5921 2.3605 1.6096
Si 2.3605 0.8711 1.6096
```

Energy relative to the elements, uncorrected = 41 meV/atom
Total DFT energy (no corrections) = -6.9076 eV/atom
Total moment = 0.0 μB/cell


# 7
LiNbV2As | GGA-PBE | relaxed

Geometry as extended XYZ:
```
5
Lattice="4.7718 0.0000 0.0000 0.0000 4.9924 0.0000 0.0000 0.0000 4.7718" Properties=species:S:1:pos:R:3 pbc="T T T"
Nb 0.0000 0.0000 0.0000
Li 2.3859 2.4962 2.3859
As 0.0000 2.4962 0.0000
V 0.0000 0.0000 2.3859
V 2.3859 0.0000 0.0000
```

Total DFT energy (no corrections) = -5.9946 eV/atom
Formation enthalpy at 0 K = 979 meV/atom
Total moment = 3.9 μB/cell


# 8
ScI2N2 | GGA-PBE | relaxed

Geometry as extended XYZ:
```
5
Lattice="-2.1818 1.6512 3.5509 0.8572 -3.7649 2.2774 5.2836 2.4715 2.0972" Properties=species:S:1:pos:R:3 pbc="T T T"
I 1.9795 0.1789 3.9627
I 2.6418 1.2358 1.0486
Sc 0.0000 0.0000 0.0000
N 0.4286 -1.8824 1.1387
N -1.0909 0.8256 1.7754
```

Energy relative to the elements, uncorrected = 784 meV/atom
Total DFT energy (no corrections) = -4.4323 eV/atom
Polymorph energy (0 for the lowest one) = 0.000 eV per atom
Total moment = 3.4 μB/cell